[1]
# InRu4Au

A relaxed structure of InRu4Au (PBE, the Alexandria database).

Cell: 5.189 5.189 5.189 Å, 60.00 60.00 60.00°
Site moments in Bohr magnetons follow the coordinates.
Atoms (fractional coordinates):
In  0.000  0.000  0.000  -0.03
Ru  0.375  0.375  0.375  0.63
Ru  0.874  0.375  0.375  0.63
Ru  0.375  0.375  0.874  0.63
Au  0.750  0.750  0.750  0.04
Ru  0.375  0.874  0.375  0.63

## Properties
ΔE_f ... 0.517 eV/atom
Density ... 12.03 g/cm3
V ... 98.8 Å³ per cell
Total DFT energy (no corrections) ... -6.67 eV/atom

=====

[2]
# Lu12In2Fe3

A relaxed structure of Lu12In2Fe3 (PBE, the Alexandria database).

Cell: 8.167 8.167 8.167 Å, 108.46 108.46 111.52°
Atoms (fractional coordinates):
In  0.000  0.500  0.500
Fe  0.617  0.617  0.000
Fe  0.383  0.383  0.000
Lu  0.191  0.427  0.236
Lu  0.809  0.045  0.236
Lu  0.308  0.692  0.000
Lu  0.809  0.573  0.764
Lu  0.045  0.809  0.236
Lu  0.692  0.692  0.385
In  0.500  0.000  0.500
Lu  0.692  0.308  0.000
Lu  0.573  0.809  0.764
Lu  0.191  0.955  0.764
Lu  0.427  0.191  0.236
Lu  0.308  0.308  0.615
Lu  0.955  0.191  0.764
Fe  0.000  0.000  0.000

## Properties
ΔE_f ... -0.209 eV/atom
Density ... 9.89 g/cm3
V ... 419.0 Å³ per cell
Total DFT energy (no corrections) ... -5.22 eV/atom

=====

[3]
# BeAg3

A relaxed structure of BeAg3 (PBE, the Alexandria database).

Cell: 5.224 5.224 5.224 Å, 116.84 116.84 116.84°
Atoms (fractional coordinates):
Ag  0.000  0.000  0.000
Ag  0.500  0.500  0.000
Ag  0.000  0.500  0.500
Be  0.500  0.000  0.500

## Properties
ΔE_f ... 0.273 eV/atom
Density ... 8.57 g/cm3
V ... 64.4 Å³ per cell
Total DFT energy (no corrections) ... -2.80 eV/atom